Crystalline Ac2TlCrO6 at its relaxed geometry. Source: Alexandria, functional PBE with a Hubbard U.

Cell and atoms, written as CIF:
```
data_Ac2TlCrO6
_cell_length_a 5.710
_cell_length_b 5.710
_cell_length_c 4.834
_cell_angle_alpha 90.00
_cell_angle_beta 90.00
_cell_angle_gamma 90.00
_space_group_name_H-M_alt 'P 4 m m'
_space_group_IT_number 99
loop_
_space_group_symop_operation_xyz
'x,y,z'
'-y,x,z'
'-x,-y,z'
'y,-x,z'
'-x,y,z'
'y,x,z'
'x,-y,z'
'-y,-x,z'
loop_
_atom_site_label
_atom_site_fract_x
_atom_site_fract_y
_atom_site_fract_z
_atom_site_occupancy
Ac1 0.000 0.500 0.000 1
Tl1 0.000 0.000 0.544 1
Cr1 0.500 0.500 0.578 1
O1 0.000 0.000 0.100 1
O2 0.263 0.263 0.685 1
O3 0.500 0.500 0.176 1
```

## Properties
DFT total energy in eV/cell: -70.061


Crystalline AcTlCrO5 at its relaxed geometry. Source: Alexandria, functional PBE with a Hubbard U.

Cell and atoms, written as CIF:
```
data_AcTlCrO5
_cell_length_a 8.011
_cell_length_b 10.647
_cell_length_c 8.659
_cell_angle_alpha 90.00
_cell_angle_beta 116.29
_cell_angle_gamma 90.00
_space_group_name_H-M_alt 'C 1 2/c 1'
_space_group_IT_number 15
loop_
_space_group_symop_operation_xyz
'x,y,z'
'-x,-y,-z'
'-x,y,-z+1/2'
'x,-y,z+1/2'
'x+1/2,y+1/2,z'
'-x+1/2,-y+1/2,-z'
'-x+1/2,y+1/2,-z+1/2'
'x+1/2,-y+1/2,z+1/2'
loop_
_atom_site_label
_atom_site_fract_x
_atom_site_fract_y
_atom_site_fract_z
_atom_site_occupancy
Ac1 0.000 0.000 0.000 1
Tl1 0.000 0.309 0.250 1
Cr1 0.000 0.312 0.750 1
O1 0.000 0.091 0.250 1
O2 0.083 0.221 0.641 1
O3 0.169 0.404 0.886 1
```

## Properties
DFT total energy in eV/cell: -214.478


Crystalline Ac2Tl3CrO6 at its relaxed geometry. Source: Alexandria, functional PBE with a Hubbard U.

Cell and atoms, written as CIF:
```
data_Ac2Tl3CrO6
_cell_length_a 6.355
_cell_length_b 10.825
_cell_length_c 6.688
_cell_angle_alpha 90.00
_cell_angle_beta 106.89
_cell_angle_gamma 90.00
_space_group_name_H-M_alt 'C 1 2/m 1'
_space_group_IT_number 12
loop_
_space_group_symop_operation_xyz
'x,y,z'
'-x,-y,-z'
'-x,y,-z'
'x,-y,z'
'x+1/2,y+1/2,z'
'-x+1/2,-y+1/2,-z'
'-x+1/2,y+1/2,-z'
'x+1/2,-y+1/2,z'
loop_
_atom_site_label
_atom_site_fract_x
_atom_site_fract_y
_atom_site_fract_z
_atom_site_occupancy
Ac1 0.000 0.168 0.000 1
Tl1 0.000 0.000 0.500 1
Tl2 0.000 0.343 0.500 1
Cr1 0.000 0.500 0.000 1
O1 0.199 0.358 0.164 1
O2 0.221 0.500 0.798 1
```

## Properties
DFT total energy in eV/cell: -149.403


Crystalline Ac2TmCrO6 at its relaxed geometry. Source: Alexandria, functional PBE with a Hubbard U.

Cell and atoms, written as CIF:
```
data_Ac2TmCrO6
_cell_length_a 10.084
_cell_length_b 5.820
_cell_length_c 5.895
_cell_angle_alpha 90.00
_cell_angle_beta 124.89
_cell_angle_gamma 90.00
_space_group_name_H-M_alt 'C 1 2/m 1'
_space_group_IT_number 12
loop_
_space_group_symop_operation_xyz
'x,y,z'
'-x,-y,-z'
'-x,y,-z'
'x,-y,z'
'x+1/2,y+1/2,z'
'-x+1/2,-y+1/2,-z'
'-x+1/2,y+1/2,-z'
'x+1/2,-y+1/2,z'
loop_
_atom_site_label
_atom_site_fract_x
_atom_site_fract_y
_atom_site_fract_z
_atom_site_occupancy
Ac1 0.248 0.000 0.235 1
Tm1 0.000 0.000 0.500 1
Cr1 0.000 0.500 0.000 1
O1 0.051 0.257 0.812 1
O2 0.239 0.500 0.328 1
```

## Properties
DFT total energy in eV/cell: -162.150


Crystalline AcU2CrO8 at its relaxed geometry. Source: Alexandria, functional PBE with a Hubbard U.

Cell and atoms, written as CIF:
```
data_AcU2CrO8
_cell_length_a 5.179
_cell_length_b 7.064
_cell_length_c 5.215
_cell_angle_alpha 90.00
_cell_angle_beta 95.08
_cell_angle_gamma 90.00
_space_group_name_H-M_alt 'P 1 2/m 1'
_space_group_IT_number 10
loop_
_space_group_symop_operation_xyz
'x,y,z'
'-x,-y,-z'
'-x,y,-z'
'x,-y,z'
loop_
_atom_site_label
_atom_site_fract_x
_atom_site_fract_y
_atom_site_fract_z
_atom_site_occupancy
Ac1 0.000 0.000 0.000 1
U1 0.500 0.260 0.500 1
Cr1 0.000 0.500 0.000 1
O1 0.207 0.281 0.208 1
O2 0.330 0.500 0.669 1
O3 0.332 0.000 0.669 1
```

## Properties
DFT total energy in eV/cell: -109.523


Crystalline Ac2UCrO8 at its relaxed geometry. Source: Alexandria, functional PBE with a Hubbard U.

Cell and atoms, written as CIF:
```
data_Ac2UCrO8
_cell_length_a 4.281
_cell_length_b 5.568
_cell_length_c 8.023
_cell_angle_alpha 80.68
_cell_angle_beta 86.61
_cell_angle_gamma 81.60
_space_group_name_H-M_alt 'P -1'
_space_group_IT_number 2
loop_
_space_group_symop_operation_xyz
'x,y,z'
'-x,-y,-z'
loop_
_atom_site_label
_atom_site_fract_x
_atom_site_fract_y
_atom_site_fract_z
_atom_site_occupancy
Ac1 0.022 0.044 0.247 1
U1 0.500 0.500 0.500 1
Cr1 0.500 0.500 0.000 1
O1 0.076 0.720 0.517 1
O2 0.173 0.725 0.036 1
O3 0.429 0.220 0.681 1
O4 0.467 0.329 0.236 1
```

## Properties
DFT total energy in eV/cell: -100.097


Crystalline AcUCr2O8 at its relaxed geometry. Source: Alexandria, functional PBE with a Hubbard U.

Cell and atoms, written as CIF:
```
data_AcUCr2O8
_cell_length_a 7.255
_cell_length_b 7.255
_cell_length_c 6.678
_cell_angle_alpha 90.00
_cell_angle_beta 90.00
_cell_angle_gamma 90.00
_space_group_name_H-M_alt 'I -4 m 2'
_space_group_IT_number 119
_space_group_name_Hall 'I -4 -2'
loop_
_atom_site_label
_atom_site_fract_x
_atom_site_fract_y
_atom_site_fract_z
_atom_site_occupancy
Ac1 0.000 0.000 0.000 1
U1 0.000 0.500 0.750 1
Cr1 0.000 0.000 0.500 1
Cr2 0.000 0.500 0.250 1
O1 0.000 0.205 0.679 1
O2 0.000 0.331 0.056 1
```

## Properties
DFT total energy in eV/cell: -197.206


Crystalline AcVCrO6 at its relaxed geometry. Source: Alexandria, functional PBE with a Hubbard U.

Cell and atoms, written as CIF:
```
data_AcVCrO6
_cell_length_a 5.161
_cell_length_b 8.759
_cell_length_c 5.340
_cell_angle_alpha 90.00
_cell_angle_beta 91.26
_cell_angle_gamma 90.00
_space_group_name_H-M_alt 'C 1 2 1'
_space_group_IT_number 5
loop_
_space_group_symop_operation_xyz
'x,y,z'
'-x,y,-z'
'x+1/2,y+1/2,z'
'-x+1/2,y+1/2,-z'
loop_
_atom_site_label
_atom_site_fract_x
_atom_site_fract_y
_atom_site_fract_z
_atom_site_occupancy
Ac1 0.000 0.000 0.000 1
V1 0.000 0.329 0.500 1
Cr1 0.000 0.670 0.500 1
O1 0.115 0.494 0.700 1
O2 0.188 0.192 0.704 1
O3 0.197 0.802 0.705 1
```

## Properties
DFT total energy in eV/cell: -138.719


Crystalline AcVCr2O8 at its relaxed geometry. Source: Alexandria, functional PBE with a Hubbard U.

Cell and atoms, written as CIF:
```
data_AcVCr2O8
_cell_length_a 4.901
_cell_length_b 4.909
_cell_length_c 6.975
_cell_angle_alpha 80.42
_cell_angle_beta 80.53
_cell_angle_gamma 76.19
_space_group_name_H-M_alt 'P -1'
_space_group_IT_number 2
loop_
_space_group_symop_operation_xyz
'x,y,z'
'-x,-y,-z'
loop_
_atom_site_label
_atom_site_fract_x
_atom_site_fract_y
_atom_site_fract_z
_atom_site_occupancy
Ac1 0.000 0.000 0.000 1
V1 0.000 0.000 0.500 1
Cr1 0.435 0.434 0.235 1
O1 0.216 0.765 0.707 1
O2 0.227 0.778 0.295 1
O3 0.243 0.233 0.441 1
O4 0.342 0.333 0.022 1
```

## Properties
DFT total energy in eV/cell: -89.236


Crystalline AcV2CrO8 at its relaxed geometry. Source: Alexandria, functional PBE with a Hubbard U.

Cell and atoms, written as CIF:
```
data_AcV2CrO8
_cell_length_a 5.0322
_cell_length_b 5.0322
_cell_length_c 20.7924
_cell_angle_alpha 90.00
_cell_angle_beta 90.00
_cell_angle_gamma 120.00
_space_group_name_H-M_alt 'R -3'
_space_group_IT_number 148
_space_group_name_Hall '-R 3'
loop_
_atom_site_label
_atom_site_fract_x
_atom_site_fract_y
_atom_site_fract_z
_atom_site_occupancy
Ac1 0.0000 0.0000 0.0000 1
V1 0.0000 0.0000 0.2403 1
Cr1 0.0000 0.0000 0.5000 1
O1 0.0000 0.0000 0.3231 1
O2 0.0048 0.3279 0.5568 1
```

## Properties
DFT total energy in eV/cell: -278.568


Crystalline Ac2CrWO8 at its relaxed geometry. Source: Alexandria, functional PBE with a Hubbard U.

Cell and atoms, written as CIF:
```
data_Ac2CrWO8
_cell_length_a 5.444
_cell_length_b 6.023
_cell_length_c 6.282
_cell_angle_alpha 77.25
_cell_angle_beta 68.51
_cell_angle_gamma 76.43
_space_group_name_H-M_alt 'P -1'
_space_group_IT_number 2
loop_
_space_group_symop_operation_xyz
'x,y,z'
'-x,-y,-z'
loop_
_atom_site_label
_atom_site_fract_x
_atom_site_fract_y
_atom_site_fract_z
_atom_site_occupancy
Ac1 0.121 0.183 0.155 1
Cr1 0.500 0.000 0.500 1
W1 0.500 0.500 0.500 1
O1 0.258 0.481 0.814 1
O2 0.279 0.807 0.436 1
O3 0.288 0.974 0.816 1
O4 0.298 0.310 0.431 1
```

## Properties
DFT total energy in eV/cell: -93.014


Crystalline AcCrWO6 at its relaxed geometry. Source: Alexandria, functional PBE with a Hubbard U.

Cell and atoms, written as CIF:
```
data_AcCrWO6
_cell_length_a 5.6926
_cell_length_b 5.6926
_cell_length_c 8.2865
_cell_angle_alpha 90.00
_cell_angle_beta 90.00
_cell_angle_gamma 120.00
_space_group_name_H-M_alt 'P -3 1 c'
_space_group_IT_number 163
_space_group_name_Hall '-P 3 2c'
loop_
_atom_site_label
_atom_site_fract_x
_atom_site_fract_y
_atom_site_fract_z
_atom_site_occupancy
Ac1 0.3333 0.6667 0.2500 1
Cr1 0.0000 0.0000 0.0000 1
W1 0.3333 0.6667 0.7500 1
O1 0.0798 0.3612 0.6155 1
```

## Properties
DFT total energy in eV/cell: -136.814


Magnetization list, top to bottom, in μB/atom: 0.300 0.000 0.250 0.300 0.417 0.161 0.417 0.222 0.333 0.250 0.167 0.332